The following is a DFT calculation (PBE) of an optimized crystal structure of Al9Ni4.

The calculation puts the energy above the lowest structure with this stoichiometry at 0 meV per atom.

It has space group R-3m (No. 166, hexagonal axes), with a = 5.1465 Å, b = 5.1465 Å, c = 24.7519 Å, α = 90.00°, β = 90.00° and γ = 120.00°. The distinct sites, in fractional coordinates, are Al at (0.0000, 0.0000, 0.0000), Al at (0.0000, 0.0000, 0.3503), Al at (0.0008, 0.5004, 0.4223), Ni at (0.0000, 0.0000, 0.1672) and Ni at (0.0000, 0.0000, 0.4477).